1.
The following is a PBE-GGA calculation of crystalline Sr2Ca8Pr at its relaxed geometry, from Alexandria via LeMat-Bulk.

Cell: 6.0291 6.0291 13.8191 Å, 90.00 90.00 90.00°
Site moments in Bohr magnetons follow the coordinates.
Sites, in units of the cell vectors:
Pr 0.0000 0.0000 0.0000  0.09
Ca 0.5000 0.5000 0.6715  0.00
Sr 0.0000 0.0000 0.3154  0.00
Ca 0.0000 0.5000 0.5000  0.00
Ca 0.5000 0.0000 0.8584  0.01
Sr 0.0000 0.0000 0.6846  0.00
Ca 0.0000 0.5000 0.8584  0.01
Ca 0.5000 0.0000 0.1416  0.01
Ca 0.5000 0.5000 0.3285  0.00
Ca 0.5000 0.0000 0.5000  0.00
Ca 0.0000 0.5000 0.1416  0.01

Computed properties:
SG   P4/mmm
ΔE_f   163.3 meV/atom
Polymorph energy (0 for the lowest one)   54 meV per atom

2.
The following is a PBE-GGA calculation of crystalline HoCuF4 at its relaxed geometry, from Alexandria via LeMat-Bulk.

Cell: 3.8553 6.6165 8.2519 Å, 54.46 90.00 90.00°
Sites, in units of the cell vectors:
F 0.1312 0.2770 0.5577
F 0.0192 0.6130 0.8145
F 0.8688 0.7230 0.4423
Cu 0.5000 0.5000 0.5000
F 0.4808 0.1130 0.3145
F 0.5192 0.8870 0.6855
Cu 0.0000 0.0000 0.0000
Ho 0.5000 0.5000 0.0000
F 0.9808 0.3870 0.1855
Ho 0.0000 0.0000 0.5000
F 0.3688 0.7770 0.0577
F 0.6312 0.2230 0.9423

Computed properties:
SG   P2_1/c
Raw formation energy   -2986 meV per atom

3.
The following is a PBE-GGA calculation of crystalline Tl2Rh3Se2 at its relaxed geometry, from Alexandria via LeMat-Bulk.

Cell: 5.7842 5.7842 5.9204 Å, 60.76 60.76 60.00°
Sites, in units of the cell vectors:
Tl 0.5000 0.5000 0.5000
Se 0.7866 0.7866 0.6402
Rh 0.5000 0.0000 0.0000
Se 0.2134 0.2134 0.3598
Rh 0.5000 0.5000 0.0000
Rh 0.0000 0.5000 0.0000
Tl 0.0000 0.0000 0.0000

Computed properties:
SG   R-3m
Raw formation energy   -246 meV per atom

4.
The following is a PBE-GGA calculation of crystalline CaGa2Pb2 at its relaxed geometry, from Alexandria via LeMat-Bulk.

Cell: 7.9643 7.9643 4.1632 Å, 90.00 90.00 90.00°
Sites, in units of the cell vectors:
Ga 0.1174 0.3826 0.0000
Pb 0.1756 0.6756 0.5000
Pb 0.6756 0.8244 0.5000
Pb 0.8244 0.3244 0.5000
Ca 0.0000 0.0000 0.0000
Ca 0.5000 0.5000 0.0000
Ga 0.3826 0.8826 0.0000
Ga 0.8826 0.6174 0.0000
Ga 0.6174 0.1174 0.0000
Pb 0.3244 0.1756 0.5000

Computed properties:
SG   P4/mbm
ΔE_f   -170.6 meV/atom
Polymorph energy (0 for the lowest one)   0 meV per atom

Spin magnetization / μB/cell: 0.27, 0.00, 0.00, 0.00